[1]
Computed, not measured: an optimized crystal structure of Ac2Tb3Y7 at the PBE level of DFT.

```
Ac2Tb3Y7
1.0
6.479 0.000 0.000
0.000 3.613 0.000
-0.050 0.000 17.647
Ac Tb Y
2 3 7
Direct
0.005 0.000 0.175
0.995 0.000 0.825
0.000 0.000 0.500
0.498 0.500 0.160
0.502 0.500 0.840
0.177 0.500 0.340
0.261 0.000 0.999
0.330 0.000 0.663
0.500 0.500 0.500
0.670 0.000 0.337
0.739 0.000 0.001
0.823 0.500 0.660
```

## Properties
The electronic total energy is -66.115 eV/cell. As for the space-group type: P2/m. The calculated formation energy comes out at 10.0 kJ per mole of atoms.


[2]
Computed, not measured: an optimized crystal structure of CeHoErZr at the PBE level of DFT.

```
CeHoErZr
1.0
7.699 0.000 0.000
0.000 7.699 0.000
0.000 0.000 7.699
Ce Ho Er Zr
4 4 4 4
Direct
0.000 0.000 0.000
0.000 0.500 0.500
0.500 0.000 0.500
0.500 0.500 0.000
0.000 0.000 0.500
0.000 0.500 0.000
0.500 0.000 0.000
0.500 0.500 0.500
0.250 0.250 0.250
0.250 0.750 0.750
0.750 0.250 0.750
0.750 0.750 0.250
0.250 0.250 0.750
0.250 0.750 0.250
0.750 0.250 0.250
0.750 0.750 0.750
```

## Properties
The electronic total energy is -91.044 eV/cell. As for the space-group type: F-43m. The calculated formation energy comes out at 20.8 kJ per mole of atoms.


[3]
Computed, not measured: an optimized crystal structure of HfSi2PtCl at the PBE level of DFT.

```
HfSi2PtCl
1.0
5.151 0.000 0.000
0.000 5.151 0.000
0.000 0.000 4.687
Hf Si Pt Cl
1 2 1 1
Direct
0.000 0.000 0.000
0.000 0.500 0.000
0.500 0.000 0.000
0.500 0.500 0.500
0.000 0.000 0.500
```

## Properties
The electronic total energy is -24.901 eV/cell. As for the space-group type: P4/mmm. Its uncorrected formation energy is 0.7572 eV/atom.